Run one
VASP calculation (PBE-GGA) on a relaxed structure of SmErNi8B2.

```
12
Lattice="5.0039 0.0000 0.0000 -2.5020 4.3335 0.0000 0.0000 0.0000 6.9686" Properties=species:S:1:pos:R:3 pbc="T T T"
Sm 0.0000 0.0000 0.0000
Er 0.0000 0.0000 3.4843
Ni -1.2510 2.1668 1.4589
Ni -1.2510 2.1668 5.5097
Ni 0.0000 2.8890 3.4843
Ni 2.5020 0.0000 1.4589
Ni 2.5020 0.0000 5.5097
Ni 1.2510 2.1668 1.4589
Ni 1.2510 2.1668 5.5097
Ni 2.5020 1.4445 3.4843
B 0.0000 2.8890 0.0000
B 2.5020 1.4445 0.0000
```

As for the space-group type: P6/mmm, No. 191.

=====

Run two
VASP calculation (PBE-GGA) on a relaxed structure of SmErNi8B2.

```
12
Lattice="4.9933 0.0000 0.0000 -2.4967 4.3244 0.0000 0.0000 0.0000 6.9825" Properties=species:S:1:pos:R:3 pbc="T T T"
Sm 0.0000 0.0000 0.0000
Er 0.0000 0.0000 3.4912
Ni -1.2483 2.1622 2.0539
Ni -1.2483 2.1622 4.9285
Ni 0.0000 2.8829 0.0000
Ni 2.4967 0.0000 2.0539
Ni 2.4967 0.0000 4.9285
Ni 1.2483 2.1622 2.0539
Ni 1.2483 2.1622 4.9285
Ni 2.4967 1.4414 0.0000
B 0.0000 2.8829 3.4912
B 2.4967 1.4414 3.4912
```

As for the space-group type: P6/mmm, No. 191.

=====

Stability, highest: run two

=====

Run one
VASP calculation (PBE-GGA) on a relaxed structure of Er2B2O5.

```
9
Lattice="3.6382 0.0000 0.0000 0.0000 3.6382 0.0000 0.0000 0.0000 8.7125" Properties=species:S:1:pos:R:3 pbc="T T T"
Er 0.0000 0.0000 2.1695
Er 0.0000 0.0000 6.5430
B 1.8191 1.8191 0.0000
B 1.8191 1.8191 4.3562
O 0.0000 0.0000 0.0000
O 0.0000 1.8191 3.2398
O 0.0000 1.8191 5.4727
O 1.8191 0.0000 3.2398
O 1.8191 0.0000 5.4727
```

As for the space-group type: P4/mmm, No. 123.

=====

Run two
VASP calculation (PBE-GGA) on a relaxed structure of Er2B2O5.

```
9
Lattice="3.4317 0.0000 0.0000 0.0000 3.4317 0.0000 0.0000 0.0000 6.6628" Properties=species:S:1:pos:R:3 pbc="T T T"
Er 0.0000 0.0000 0.0000
Er 0.0000 0.0000 3.3314
B 1.7158 1.7158 1.5458
B 1.7158 1.7158 5.1170
O 0.0000 1.7158 1.5920
O 0.0000 1.7158 5.0708
O 1.7158 0.0000 1.5920
O 1.7158 0.0000 5.0708
O 1.7158 1.7158 3.3314
```

As for the space-group type: P4/mmm, No. 123.

=====

Stability, highest: run two

=====

Run one
VASP calculation (PBE-GGA) on a relaxed structure of ErB4Os.

```
6
Lattice="-1.5826 2.6563 3.5257 1.5826 -2.6563 3.5257 1.5826 2.6563 -3.5257" Properties=species:S:1:pos:R:3 pbc="T T T"
Er 0.0000 0.0000 0.0000
B 1.5826 -0.8838 1.7464
B 1.5826 0.8838 1.7464
B 0.0000 1.7725 1.7793
B 0.0000 3.5400 1.7793
Os 0.0000 0.0000 3.5257
```

As for the space-group type: Immm, No. 71.

=====

Run two
VASP calculation (PBE-GGA) on a relaxed structure of ErB4Os.

```
24
Lattice="5.9388 0.0000 0.0000 0.0000 11.4905 0.0000 0.0000 0.0000 3.5473" Properties=species:S:1:pos:R:3 pbc="T T T"
Er 0.7617 1.7238 0.0000
Er 2.2077 7.4690 0.0000
Er 3.7311 4.0214 0.0000
Er 5.1771 9.7667 0.0000
B 0.1512 7.9510 1.7737
B 0.6721 6.2857 1.7737
B 0.8051 11.1452 1.7737
B 1.2475 9.3528 1.7737
B 1.7218 3.6075 1.7737
B 2.1643 5.3999 1.7737
B 2.2973 0.5405 1.7737
B 2.8181 2.2057 1.7737
B 3.1206 9.2847 1.7737
B 3.6415 10.9500 1.7737
B 3.7745 6.0905 1.7737
B 4.2169 7.8829 1.7737
B 4.6912 2.1377 1.7737
B 5.1337 0.3453 1.7737
B 5.2667 5.2047 1.7737
B 5.7875 3.5395 1.7737
Os 0.8383 4.6687 0.0000
Os 2.1311 10.4139 0.0000
Os 3.8077 1.0765 0.0000
Os 5.1005 6.8218 0.0000
```

As for the space-group type: Pbam, No. 55.

=====

Stability, highest: run two

=====

Run one
VASP calculation (PBE-GGA) on a relaxed structure of ErBPb.

```
3
Lattice="0.0000 3.3376 3.3376 3.3376 0.0000 3.3376 3.3376 3.3376 0.0000" Properties=species:S:1:pos:R:3 pbc="T T T"
Er 0.0000 0.0000 0.0000
B 5.0063 5.0063 5.0063
Pb 1.6688 1.6688 1.6688
```

As for the space-group type: F-43m, No. 216.

=====

Run two
VASP calculation (PBE-GGA) on a relaxed structure of ErBPb.

```
3
Lattice="0.0000 3.1641 3.1641 3.1641 0.0000 3.1641 3.1641 3.1641 0.0000" Properties=species:S:1:pos:R:3 pbc="T T T"
Er 0.0000 0.0000 0.0000
B 1.5820 1.5820 1.5820
Pb 3.1641 3.1641 3.1641
```

As for the space-group type: F-43m, No. 216.

=====

Stability, highest: run two

=====

Run one
VASP calculation (PBE-GGA) on a relaxed structure of ErBPd.

```
3
Lattice="0.0000 3.1001 3.1001 3.1001 0.0000 3.1001 3.1001 3.1001 0.0000" Properties=species:S:1:pos:R:3 pbc="T T T"
Er 0.0000 0.0000 0.0000
B 4.6502 4.6502 4.6502
Pd 1.5501 1.5501 1.5501
```

As for the space-group type: F-43m, No. 216.

=====

Run two
VASP calculation (PBE-GGA) on a relaxed structure of ErBPd.

```
3
Lattice="0.0000 3.0319 3.0319 3.0319 0.0000 3.0319 3.0319 3.0319 0.0000" Properties=species:S:1:pos:R:3 pbc="T T T"
Er 0.0000 0.0000 0.0000
B 3.0319 3.0319 3.0319
Pd 4.5478 4.5478 4.5478
```

As for the space-group type: F-43m, No. 216.

=====

Run three
VASP calculation (PBE-GGA) on a relaxed structure of ErBPd.

```
3
Lattice="0.0000 2.9352 2.9352 2.9352 0.0000 2.9352 2.9352 2.9352 0.0000" Properties=species:S:1:pos:R:3 pbc="T T T"
Er 0.0000 0.0000 0.0000
B 1.4676 1.4676 1.4676
Pd 2.9352 2.9352 2.9352
```

As for the space-group type: F-43m, No. 216.

=====

Stability, highest: run three

=====

Run one
VASP calculation (PBE-GGA) on a relaxed structure of PrErB4.

```
6
Lattice="-1.6548 2.8732 4.0094 1.6548 -2.8732 4.0094 1.6548 2.8732 -4.0094" Properties=species:S:1:pos:R:3 pbc="T T T"
Pr 0.0000 0.0000 0.0000
Er 0.0000 0.0000 4.0094
B 1.6548 -0.9559 2.0262
B 1.6548 0.9559 2.0262
B 0.0000 1.9173 1.9831
B 0.0000 3.8290 1.9831
```

As for the space-group type: Immm, No. 71.

=====

Run two
VASP calculation (PBE-GGA) on a relaxed structure of PrErB4.

```
6
Lattice="3.3032 0.0000 0.0000 -1.6516 2.8607 0.0000 0.0000 0.0000 8.0249" Properties=species:S:1:pos:R:3 pbc="T T T"
Pr 0.0000 0.0000 0.0000
Er 0.0000 0.0000 4.0124
B 0.0000 1.9071 2.1420
B 0.0000 1.9071 5.8829
B 1.6516 0.9536 2.1420
B 1.6516 0.9536 5.8829
```

As for the space-group type: P6/mmm, No. 191.

=====

Stability, highest: run two

=====

Run one
VASP calculation (PBE-GGA) on a relaxed structure of ErB4Pt.

```
6
Lattice="3.2384 0.0000 0.0000 -1.6192 2.8045 0.0000 0.0000 0.0000 6.7945" Properties=species:S:1:pos:R:3 pbc="T T T"
Er 0.0000 0.0000 0.0000
B 0.0000 1.8697 1.8184
B 0.0000 1.8697 4.9761
B 1.6192 0.9348 1.8184
B 1.6192 0.9348 4.9761
Pt 0.0000 0.0000 3.3972
```

As for the space-group type: P6/mmm, No. 191.

=====

Run two
VASP calculation (PBE-GGA) on a relaxed structure of ErB4Pt.

```
6
Lattice="-1.5808 2.6277 3.8319 1.5808 -2.6277 3.8319 1.5808 2.6277 -3.8319" Properties=species:S:1:pos:R:3 pbc="T T T"
Er 0.0000 0.0000 0.0000
B 1.5808 -0.9350 1.8228
B 1.5808 0.9350 1.8228
B 0.0000 1.6926 2.0092
B 0.0000 3.5627 2.0092
Pt 0.0000 0.0000 3.8319
```

As for the space-group type: Immm, No. 71.

=====

Stability, highest: run two

=====

Run one
VASP calculation (PBE-GGA) on a relaxed structure of ErBPt.

```
3
Lattice="0.0000 3.1173 3.1173 3.1173 0.0000 3.1173 3.1173 3.1173 0.0000" Properties=species:S:1:pos:R:3 pbc="T T T"
Er 0.0000 0.0000 0.0000
B 4.6760 4.6760 4.6760
Pt 1.5587 1.5587 1.5587
```

As for the space-group type: F-43m, No. 216.

=====

Run two
VASP calculation (PBE-GGA) on a relaxed structure of ErBPt.

```
3
Lattice="0.0000 2.9229 2.9229 2.9229 0.0000 2.9229 2.9229 2.9229 0.0000" Properties=species:S:1:pos:R:3 pbc="T T T"
Er 0.0000 0.0000 0.0000
B 1.4615 1.4615 1.4615
Pt 2.9229 2.9229 2.9229
```

As for the space-group type: F-43m, No. 216.

=====

Run three
VASP calculation (PBE-GGA) on a relaxed structure of ErBPt.

```
3
Lattice="0.0000 3.0564 3.0564 3.0564 0.0000 3.0564 3.0564 3.0564 0.0000" Properties=species:S:1:pos:R:3 pbc="T T T"
Er 0.0000 0.0000 0.0000
B 3.0564 3.0564 3.0564
Pt 4.5846 4.5846 4.5846
```

As for the space-group type: F-43m, No. 216.

=====

Stability, highest: run two

=====

Run one
VASP calculation (PBE-GGA) on a relaxed structure of RbErB4.

```
6
Lattice="-1.5625 3.9460 3.9549 1.5625 -3.9460 3.9549 1.5625 3.9460 -3.9549" Properties=species:S:1:pos:R:3 pbc="T T T"
Rb 0.0000 0.0000 0.0000
Er 0.0000 3.9460 0.0000
B 1.5625 2.0278 -1.8658
B 1.5625 2.0278 1.8658
B 0.0000 1.9182 2.0890
B 0.0000 1.9182 5.8207
```

As for the space-group type: Immm, No. 71.

=====

Run two
VASP calculation (PBE-GGA) on a relaxed structure of RbErB4.

```
6
Lattice="3.2258 0.0000 0.0000 -1.6129 2.7936 0.0000 0.0000 0.0000 9.0218" Properties=species:S:1:pos:R:3 pbc="T T T"
Rb 0.0000 0.0000 0.0000
Er 0.0000 0.0000 4.5109
B 0.0000 1.8624 2.6488
B 0.0000 1.8624 6.3730
B 1.6129 0.9312 2.6488
B 1.6129 0.9312 6.3730
```

As for the space-group type: P6/mmm, No. 191.

=====

Stability, highest: run two

=====

Run one
VASP calculation (PBE-GGA) on a relaxed structure of ErReB4.

```
6
Lattice="-1.5699 2.6759 3.4930 1.5699 -2.6759 3.4930 1.5699 2.6759 -3.4930" Properties=species:S:1:pos:R:3 pbc="T T T"
Er 0.0000 0.0000 0.0000
Re 0.0000 0.0000 3.4930
B 1.5699 -0.8775 1.7458
B 1.5699 0.8775 1.7458
B 0.0000 1.7985 1.7472
B 0.0000 3.5534 1.7472
```

As for the space-group type: Immm, No. 71.

=====

Run two
VASP calculation (PBE-GGA) on a relaxed structure of ErReB4.

```
24
Lattice="5.9405 0.0000 0.0000 0.0000 11.4915 0.0000 0.0000 0.0000 3.5941" Properties=species:S:1:pos:R:3 pbc="T T T"
Er 0.7508 1.7271 0.0000
Er 2.2194 7.4728 0.0000
Er 3.7211 4.0187 0.0000
Er 5.1896 9.7644 0.0000
Re 0.7934 4.7402 0.0000
Re 2.1768 10.4860 0.0000
Re 3.7637 1.0055 0.0000
Re 5.1470 6.7513 0.0000
B 0.1370 7.9605 1.7971
B 0.6806 6.2937 1.7971
B 0.8048 11.1300 1.7971
B 1.2572 9.3636 1.7971
B 1.7130 3.6179 1.7971
B 2.1655 5.3843 1.7971
B 2.2896 0.5480 1.7971
B 2.8333 2.2147 1.7971
B 3.1072 9.2768 1.7971
B 3.6508 10.9435 1.7971
B 3.7750 6.1072 1.7971
B 4.2274 7.8736 1.7971
B 4.6833 2.1279 1.7971
B 5.1357 0.3615 1.7971
B 5.2599 5.1978 1.7971
B 5.8035 3.5310 1.7971
```

As for the space-group type: Pbam, No. 55.

=====

Run three
VASP calculation (PBE-GGA) on a relaxed structure of ErReB4.

```
6
Lattice="3.1304 0.0000 0.0000 -1.5652 2.7110 0.0000 0.0000 0.0000 6.9634" Properties=species:S:1:pos:R:3 pbc="T T T"
Er 0.0000 0.0000 0.0000
Re 0.0000 0.0000 3.4817
B 0.0000 1.8073 1.8919
B 0.0000 1.8073 5.0715
B 1.5652 0.9037 1.8919
B 1.5652 0.9037 5.0715
```

As for the space-group type: P6/mmm, No. 191.

=====

Stability, highest: run two

=====

Run one
VASP calculation (PBE-GGA) on a relaxed structure of ErBSb.

```
3
Lattice="0.0000 3.3372 3.3372 3.3372 0.0000 3.3372 3.3372 3.3372 0.0000" Properties=species:S:1:pos:R:3 pbc="T T T"
Er 0.0000 0.0000 0.0000
B 5.0058 5.0058 5.0058
Sb 1.6686 1.6686 1.6686
```

As for the space-group type: F-43m, No. 216.

=====

Run two
VASP calculation (PBE-GGA) on a relaxed structure of ErBSb.

```
3
Lattice="0.0000 3.1444 3.1444 3.1444 0.0000 3.1444 3.1444 3.1444 0.0000" Properties=species:S:1:pos:R:3 pbc="T T T"
Er 0.0000 0.0000 0.0000
B 1.5722 1.5722 1.5722
Sb 3.1444 3.1444 3.1444
```

As for the space-group type: F-43m, No. 216.

=====

Stability, highest: run two